[1]
A plane-wave DFT calculation with GGA-PBE was carried out for an optimized crystal structure of Dy6Bi2Sb3Te.

Cell: 9.853 9.853 8.826 Å, 102.93 102.93 25.86°
Fractional coordinates of all 12 atoms:
Dy 0.002 0.002 0.244
Dy 0.331 0.331 0.420
Dy 0.335 0.335 0.913
Dy 0.665 0.665 0.087
Dy 0.669 0.669 0.580
Dy 0.998 0.998 0.756
Bi 0.166 0.166 0.832
Bi 0.834 0.834 0.168
Sb 0.166 0.166 0.334
Sb 0.500 0.500 0.000
Sb 0.834 0.834 0.666
Te 0.500 0.500 0.500

For the uncorrected formation energy, the calculation gives -1.096 eV/atom. The space group is C2/m, No. 12.



[2]
A plane-wave DFT calculation with GGA-PBE was carried out for an optimized crystal structure of Dy6Bi2SbTe3.

Cell: 9.850 9.850 8.794 Å, 102.79 102.79 25.83°
Fractional coordinates of all 12 atoms:
Dy 0.000 0.000 0.241
Dy 0.000 0.000 0.759
Dy 0.334 0.334 0.418
Dy 0.337 0.337 0.918
Dy 0.663 0.663 0.082
Dy 0.666 0.666 0.582
Bi 0.167 0.167 0.334
Bi 0.833 0.833 0.666
Sb 0.500 0.500 0.000
Te 0.168 0.168 0.834
Te 0.500 0.500 0.500
Te 0.832 0.832 0.166

For the uncorrected formation energy, the calculation gives -1.143 eV/atom. The space group is C2/m, No. 12.



[3]
A plane-wave DFT calculation with GGA-PBE was carried out for an optimized crystal structure of Dy6Bi3SbTe2.

Cell: 9.890 9.890 8.831 Å, 102.83 102.83 25.87°
Fractional coordinates of all 12 atoms:
Dy 0.001 0.001 0.256
Dy 0.335 0.335 0.915
Dy 0.337 0.337 0.420
Dy 0.663 0.663 0.580
Dy 0.665 0.665 0.085
Dy 0.999 0.999 0.744
Bi 0.169 0.169 0.334
Bi 0.500 0.500 0.000
Bi 0.831 0.831 0.666
Sb 0.500 0.500 0.500
Te 0.167 0.167 0.834
Te 0.833 0.833 0.166

For the uncorrected formation energy, the calculation gives -1.071 eV/atom. The space group is C2/m, No. 12.



[4]
A plane-wave DFT calculation with GGA-PBE was carried out for an optimized crystal structure of Dy6BiSb3Te2.

Cell: 9.827 9.827 8.784 Å, 103.04 103.04 25.84°
Fractional coordinates of all 12 atoms:
Dy 0.002 0.002 0.247
Dy 0.332 0.332 0.423
Dy 0.336 0.336 0.911
Dy 0.664 0.664 0.089
Dy 0.668 0.668 0.577
Dy 0.998 0.998 0.753
Bi 0.500 0.500 0.500
Sb 0.168 0.168 0.333
Sb 0.500 0.500 0.000
Sb 0.832 0.832 0.667
Te 0.167 0.167 0.835
Te 0.833 0.833 0.165

For the uncorrected formation energy, the calculation gives -1.177 eV/atom. The space group is C2/m, No. 12.



[5]
A plane-wave DFT calculation with GGA-PBE was carried out for an optimized crystal structure of Dy6BiSb2Te3.

Cell: 9.821 9.821 8.771 Å, 102.90 102.90 25.81°
Fractional coordinates of all 12 atoms:
Dy 0.004 0.004 0.252
Dy 0.330 0.330 0.423
Dy 0.332 0.332 0.907
Dy 0.668 0.668 0.093
Dy 0.670 0.670 0.577
Dy 0.996 0.996 0.748
Bi 0.500 0.500 0.000
Sb 0.167 0.167 0.334
Sb 0.833 0.833 0.666
Te 0.165 0.165 0.833
Te 0.500 0.500 0.500
Te 0.835 0.835 0.167

For the uncorrected formation energy, the calculation gives -1.198 eV/atom. The space group is C2/m, No. 12.



[6]
A plane-wave DFT calculation with GGA-PBE was carried out for an optimized crystal structure of DyThBiSb.

Cell: 4.496 4.496 21.935 Å, 90.00 90.00 120.00°
Fractional coordinates of all 12 atoms:
Dy 0.000 0.000 0.000
Dy 0.333 0.667 0.667
Dy 0.667 0.333 0.333
Th 0.000 0.000 0.506
Th 0.333 0.667 0.172
Th 0.667 0.333 0.839
Bi 0.000 0.000 0.750
Bi 0.333 0.667 0.417
Bi 0.667 0.333 0.083
Sb 0.000 0.000 0.256
Sb 0.333 0.667 0.923
Sb 0.667 0.333 0.590

For the uncorrected formation energy, the calculation gives -0.868 eV/atom. The offset from the most stable computed form is 0.0 meV/atom. The space group is R3m, No. 160.



[7]
A plane-wave DFT calculation with GGA-PBE was carried out for an optimized crystal structure of DyThBiSb.

Cell: 7.743 7.743 7.743 Å, 90.00 90.00 90.00°
Fractional coordinates of all 16 atoms:
Dy 0.000 0.000 0.000
Dy 0.000 0.500 0.500
Dy 0.500 0.000 0.500
Dy 0.500 0.500 0.000
Th 0.000 0.000 0.500
Th 0.000 0.500 0.000
Th 0.500 0.000 0.000
Th 0.500 0.500 0.500
Bi 0.250 0.250 0.750
Bi 0.250 0.750 0.250
Bi 0.750 0.250 0.250
Bi 0.750 0.750 0.750
Sb 0.250 0.250 0.250
Sb 0.250 0.750 0.750
Sb 0.750 0.250 0.750
Sb 0.750 0.750 0.250

For the uncorrected formation energy, the calculation gives -0.662 eV/atom. The offset from the most stable computed form is 205.7 meV/atom. The space group is F-43m, No. 216.



[8]
A plane-wave DFT calculation with GGA-PBE was carried out for an optimized crystal structure of DyYBiSb.

Cell: 4.433 4.433 6.268 Å, 90.00 90.00 90.00°
Fractional coordinates of all 4 atoms:
Dy 0.000 0.000 0.000
Y 0.500 0.500 0.500
Bi 0.000 0.000 0.500
Sb 0.500 0.500 0.000

For the uncorrected formation energy, the calculation gives -1.010 eV/atom. The space group is P4/mmm, No. 123.



[9]
A plane-wave DFT calculation with GGA-PBE was carried out for an optimized crystal structure of Dy5Sc2Bi5.

Cell: 7.585 7.585 12.531 Å, 112.33 112.33 33.75°
Fractional coordinates of all 12 atoms:
Dy 0.000 0.000 0.000
Dy 0.164 0.164 0.530
Dy 0.216 0.216 0.838
Dy 0.784 0.784 0.162
Dy 0.836 0.836 0.470
Sc 0.443 0.443 0.703
Sc 0.557 0.557 0.297
Bi 0.189 0.189 0.278
Bi 0.388 0.388 0.077
Bi 0.500 0.500 0.500
Bi 0.612 0.612 0.923
Bi 0.811 0.811 0.722

For the energy relative to the elements, the calculation gives -0.57 eV/atom. The space group is C2/m, No. 12.



[10]
A plane-wave DFT calculation with GGA-PBE was carried out for an optimized crystal structure of Dy3ScBi2.

Cell: 4.492 4.492 8.510 Å, 90.00 90.00 90.00°
Fractional coordinates of all 6 atoms:
Dy 0.000 0.000 0.000
Dy 0.000 0.500 0.655
Dy 0.500 0.000 0.345
Sc 0.500 0.500 0.000
Bi 0.000 0.500 0.278
Bi 0.500 0.000 0.722

For the energy relative to the elements, the calculation gives -0.60 eV/atom. The offset from the most stable computed form is 0.0 meV/atom. The space group is P-4m2, No. 115.



[11]
A plane-wave DFT calculation with GGA-PBE was carried out for an optimized crystal structure of DySc3Bi.

Cell: 10.079 3.834 13.876 Å, 90.00 90.00 90.00°
Fractional coordinates of all 20 atoms:
Dy 0.150 0.250 0.025
Dy 0.350 0.750 0.525
Dy 0.650 0.250 0.475
Dy 0.850 0.750 0.975
Sc 0.095 0.250 0.421
Sc 0.119 0.750 0.239
Sc 0.128 0.750 0.816
Sc 0.372 0.250 0.316
Sc 0.381 0.250 0.739
Sc 0.405 0.750 0.921
Sc 0.595 0.250 0.079
Sc 0.619 0.750 0.261
Sc 0.628 0.750 0.684
Sc 0.872 0.250 0.184
Sc 0.881 0.250 0.761
Sc 0.905 0.750 0.579
Bi 0.125 0.250 0.636
Bi 0.375 0.750 0.136
Bi 0.625 0.250 0.864
Bi 0.875 0.750 0.364

For the energy relative to the elements, the calculation gives -0.25 eV/atom. The space group is Pnma, No. 62.



[12]
A plane-wave DFT calculation with GGA-PBE was carried out for an optimized crystal structure of Dy3ScBi4.

Cell: 8.855 12.523 4.430 Å, 90.00 90.00 90.00°
Fractional coordinates of all 16 atoms:
Dy 0.000 0.000 0.000
Dy 0.250 0.250 0.500
Dy 0.250 0.750 0.500
Dy 0.500 0.500 0.000
Dy 0.750 0.250 0.500
Dy 0.750 0.750 0.500
Sc 0.000 0.500 0.000
Sc 0.500 0.000 0.000
Bi 0.000 0.255 0.000
Bi 0.000 0.745 0.000
Bi 0.241 0.500 0.500
Bi 0.259 0.000 0.500
Bi 0.500 0.245 0.000
Bi 0.500 0.755 0.000
Bi 0.741 0.000 0.500
Bi 0.759 0.500 0.500

For the energy relative to the elements, the calculation gives -0.80 eV/atom. The offset from the most stable computed form is 0.0 meV/atom. The space group is Cmmm, No. 65.